# 1
DFT (PBE-GGA) results for a relaxed Re2Mo3C crystal.

abc: 6.9443 6.9443 6.9443
angles: 90.00 90.00 90.00
Last column: nearest neighbours and their distance in Å.
Fractional positions:
Re (0.0679, 0.0679, 0.0679)  3 Re 2.58, 6 Mo 2.85-2.88
Re (0.5679, 0.4321, 0.9321)  3 Re 2.58, 6 Mo 2.85-2.88
Mo (0.1250, 0.2056, 0.4556)  2 C 2.17
Re (0.8179, 0.3179, 0.1821)  3 Re 2.58, 6 Mo 2.85-2.88
Mo (0.7944, 0.9556, 0.3750)  2 C 2.17
Mo (0.0444, 0.8750, 0.7056)  2 C 2.17
Re (0.1821, 0.8179, 0.3179)  3 Re 2.58, 6 Mo 2.85-2.88
C (0.1250, 0.6250, 0.8750)  6 Mo 2.17
Mo (0.8750, 0.7056, 0.0444)  2 C 2.17
Mo (0.5444, 0.6250, 0.2944)  2 C 2.17
Mo (0.6250, 0.2944, 0.5444)  2 C 2.17
Mo (0.2056, 0.4556, 0.1250)  2 C 2.17
C (0.3750, 0.3750, 0.3750)  6 Mo 2.17
C (0.6250, 0.8750, 0.1250)  6 Mo 2.17
Mo (0.9556, 0.3750, 0.7944)  2 C 2.17
Mo (0.4556, 0.1250, 0.2056)  2 C 2.17
C (0.8750, 0.1250, 0.6250)  6 Mo 2.17
Re (0.9321, 0.5679, 0.4321)  3 Re 2.58, 6 Mo 2.85-2.88
Mo (0.7056, 0.0444, 0.8750)  2 C 2.17
Mo (0.3750, 0.7944, 0.9556)  2 C 2.17
Re (0.6821, 0.6821, 0.6821)  3 Re 2.58, 6 Mo 2.85-2.88
Mo (0.2944, 0.5444, 0.6250)  2 C 2.17
Re (0.4321, 0.9321, 0.5679)  3 Re 2.58, 6 Mo 2.85-2.88
Re (0.3179, 0.1821, 0.8179)  3 Re 2.58, 6 Mo 2.85-2.88

- space group = P4_132 (213)
- total magnetization (μB per formula unit) = 0.0
- E (eV per atom) = -11.09
- E_form (eV per formula unit) = 0.05
- theoretical density (g/cm³) = 13.33



# 2
DFT (PBE-GGA) results for a relaxed BaTiGeO5 crystal.

abc: 5.8902 5.8902 7.3872
angles: 103.80 103.80 106.26
Last column: nearest neighbours and their distance in Å.
Fractional positions:
O (0.7107, 0.1111, 0.3985)  1 Ge 1.79
O (0.2893, 0.8889, 0.6015)  1 Ge 1.79
O (0.9507, 0.0493, 0.7500)  2 Ti 1.90
O (0.0493, 0.9507, 0.2500)  2 Ti 1.90
O (0.8889, 0.2893, 0.1015)  1 Ge 1.79
O (0.2250, 0.3769, 0.5926)  1 Ge 1.79
Ti (0.0000, 0.0000, 0.0000)  6 O 1.90-2.09
Ge (0.3084, 0.6916, 0.7500)  4 O 1.79
O (0.6231, 0.7750, 0.9074)  1 Ge 1.79
Ba (0.3314, 0.6686, 0.2500)  7 O 2.66-2.71
Ge (0.6916, 0.3084, 0.2500)  4 O 1.79
O (0.1111, 0.7107, 0.8985)  1 Ge 1.79
O (0.3769, 0.2250, 0.0926)  1 Ge 1.79
O (0.7750, 0.6231, 0.4074)  1 Ge 1.79
Ti (0.0000, 0.0000, 0.5000)  6 O 1.90-2.09
Ba (0.6686, 0.3314, 0.7500)  7 O 2.66-2.71

- space group = C2/c (15)
- total magnetization (μB per formula unit) = 0.0
- E (eV per atom) = -7.44
- theoretical density (g/cm³) = 4.97



# 3
DFT (PBE-GGA) results for a relaxed CsRbZnGe crystal.

abc: 4.5674 6.0437 6.6898
angles: 116.96 90.25 89.97
Last column: nearest neighbours and their distance in Å.
Fractional positions:
Rb (0.9029, 0.0900, 0.4208)  3 Ge 3.73-3.78, 4 Zn 4.04-4.06
Ge (0.9008, 0.4054, 0.0541)  2 Zn 2.40-2.41
Cs (0.4002, 0.7837, 0.8070)  3 Zn 3.74-3.75, 4 Ge 4.05-4.08
Zn (0.4016, 0.4711, 0.1804)  2 Ge 2.40-2.41

- space group = P1 (1)
- total magnetization (μB per formula unit) = 0.0
- E (eV per atom) = -1.99
- E_form (eV per formula unit) = -0.24
- theoretical density (g/cm³) = 3.60



# 4
DFT (PBE-GGA) results for a relaxed ScGeSbI2 crystal.

abc: 5.5187 5.5187 5.6202
angles: 90.00 90.00 90.00
Last column: nearest neighbours and their distance in Å.
Fractional positions:
Sc (0.5000, 0.5000, 0.5000)  4 Sb 3.90, 8 I 3.94
Sb (0.0000, 0.0000, 0.5000)  2 Ge 2.81
Ge (0.0000, 0.0000, 0.0000)  4 I 2.76, 2 Sb 2.81
I (0.0000, 0.5000, 0.0000)  2 Ge 2.76
I (0.5000, 0.0000, 0.0000)  2 Ge 2.76

- space group = P4/mmm (123)
- total magnetization (μB per formula unit) = 0.4
- E (eV per atom) = -3.33
- theoretical density (g/cm³) = 4.78



# 5
DFT (PBE-GGA) results for a relaxed Ce5PuPb6 crystal.

abc: 5.9762 6.5718 10.0114
angles: 109.16 107.37 90.00
Last column: nearest neighbours and their distance in Å.
Fractional positions:
Ce (0.6645, 0.1645, 0.3290)  2 Ce 3.29, 8 Pb 3.38-3.45
Ce (0.3355, 0.8355, 0.6710)  2 Ce 3.29, 8 Pb 3.38-3.45
Ce (0.0000, 0.5000, 0.0000)  2 Pu 3.29, 8 Pb 3.41
Pb (0.8334, 0.5828, 0.6669)  2 Pb 3.28-3.29, 7 Ce 3.40-3.45, 1 Pu 3.41
Pu (0.0000, 0.0000, 0.0000)  2 Ce 3.29, 8 Pb 3.41
Ce (0.6675, 0.6675, 0.3350)  2 Ce 3.29, 8 Pb 3.40-3.42
Pb (0.1665, 0.9160, 0.3331)  2 Pb 3.28-3.29, 7 Ce 3.40-3.45, 1 Pu 3.41
Pb (0.5000, 0.2514, 0.0000)  2 Pb 3.27-3.30, 6 Ce 3.38-3.42, 2 Pu 3.41
Pb (0.1666, 0.4172, 0.3331)  2 Pb 3.28-3.29, 7 Ce 3.40-3.45, 1 Pu 3.41
Ce (0.3325, 0.3325, 0.6650)  2 Ce 3.29, 8 Pb 3.40-3.42
Pb (0.8335, 0.0840, 0.6669)  2 Pb 3.28-3.29, 7 Ce 3.40-3.45, 1 Pu 3.41
Pb (0.5000, 0.7486, 0.0000)  2 Pb 3.27-3.30, 6 Ce 3.38-3.42, 2 Pu 3.41

- space group = Immm (71)
- total magnetization (μB per formula unit) = 11.5
- E (eV per atom) = -5.88
- E_form (eV per formula unit) = -4.34
- theoretical density (g/cm³) = 10.31



# 6
DFT (PBE-GGA) results for a relaxed Zn5In crystal.

abc: 2.9572 2.9572 11.8025
angles: 90.00 90.00 90.00
Last column: nearest neighbours and their distance in Å.
Fractional positions:
Zn (0.5000, 0.5000, 0.6509)  12 Zn 2.75-2.96
Zn (0.5000, 0.5000, 0.3491)  12 Zn 2.75-2.96
Zn (0.0000, 0.0000, 0.8025)  8 Zn 2.75-2.96
In (0.5000, 0.5000, 0.0000)  4 In 2.96, 8 Zn 3.13
Zn (0.0000, 0.0000, 0.1975)  8 Zn 2.75-2.96
Zn (0.0000, 0.0000, 0.5000)  12 Zn 2.75-2.96

- space group = P4/mmm (123)
- total magnetization (μB per formula unit) = 0.0
- E (eV per atom) = -1.44
- E_form (eV per formula unit) = 0.45
- theoretical density (g/cm³) = 7.11



# 7
DFT (PBE-GGA) results for a relaxed Ba2ZrIn crystal.

abc: 7.8156 6.4525 3.6430
angles: 89.92 62.36 118.34
Last column: nearest neighbours and their distance in Å.
Fractional positions:
Ba (0.5000, 0.0000, 0.5000)  4 Ba 3.46-3.64, 4 Zr 3.70-3.71, 4 In 3.70-3.71
In (0.0000, 0.5000, 0.5000)  2 Zr 3.46, 2 In 3.64, 8 Ba 3.70-3.71
Zr (0.5000, 0.5000, 0.0000)  2 In 3.46, 2 Zr 3.64, 8 Ba 3.70-3.71
Ba (0.0000, 0.0000, 0.0000)  4 Ba 3.46-3.64, 4 In 3.70-3.71, 4 Zr 3.70-3.71

- space group = C2/m (12)
- total magnetization (μB per formula unit) = 0.0
- E (eV per atom) = -3.49
- E_form (eV per formula unit) = 1.17
- theoretical density (g/cm³) = 5.81



# 8
DFT (PBE-GGA) results for a relaxed Ca3MoAu crystal.

abc: 5.6137 5.6137 5.6137
angles: 90.00 90.00 90.00
Last column: nearest neighbours and their distance in Å.
Fractional positions:
Mo (0.5000, 0.5000, 0.5000)  12 Ca 3.97
Ca (0.5000, 0.0000, 0.0000)  2 Au 2.81
Ca (0.0000, 0.5000, 0.0000)  2 Au 2.81
Ca (0.0000, 0.0000, 0.5000)  2 Au 2.81
Au (0.0000, 0.0000, 0.0000)  6 Ca 2.81

- space group = Pm-3m (221)
- total magnetization (μB per formula unit) = 4.4
- E (eV per atom) = -3.53
- E_form (eV per formula unit) = 2.49
- theoretical density (g/cm³) = 3.88